(1)
# AlBiP PBE optimized geometry
data_AlBiP
_chemical_formula_sum 'Al1 Bi1 P1'
_cell_length_a 3.7751
_cell_length_b 3.7751
_cell_length_c 5.5241
_cell_angle_alpha 90.00
_cell_angle_beta 90.00
_cell_angle_gamma 120.00
_space_group_name_H-M_alt 'P 3 m 1'
_space_group_IT_number 156
_space_group_name_Hall 'P 3 -2"'
loop_
_atom_site_label
_atom_site_type_symbol
_atom_site_fract_x
_atom_site_fract_y
_atom_site_fract_z
_atom_site_occupancy
Al1 Al 0.0000 0.0000 0.0000 1
Bi1 Bi 0.6667 0.3333 0.4133 1
P1 P 0.3333 0.6667 0.8165 1
# Spin magnetization: 0.0 Bohr magnetons per cell
# Relative energy among the computed polymorphs: 48 meV per atom
# Energy of formation: -0.0065 eV/atom
# Final energy: -4.35 eV per atom
# Calculated volume: 68.2 Å³/f.u.
# Mass density: 6.5 g/cm³


(2)
# AlBi2P2 PBE optimized geometry
data_AlBi2P2
_chemical_formula_sum 'Al2 Bi4 P4'
_cell_length_a 7.6253
_cell_length_b 7.6253
_cell_length_c 3.9923
_cell_angle_alpha 90.00
_cell_angle_beta 90.00
_cell_angle_gamma 90.00
_space_group_name_H-M_alt 'P 4/m b m'
_space_group_IT_number 127
_space_group_name_Hall '-P 4 2ab'
loop_
_atom_site_label
_atom_site_type_symbol
_atom_site_fract_x
_atom_site_fract_y
_atom_site_fract_z
_atom_site_occupancy
Al1 Al 0.0000 0.0000 0.0000 1
Bi1 Bi 0.1572 0.3428 0.5000 1
P1 P 0.1645 0.6645 0.0000 1
# Spin magnetization: 0.0 Bohr magnetons per cell
# Relative energy among the computed polymorphs: 86 meV per atom
# Energy of formation: 0.3130 eV/atom
# Final energy: -4.15 eV per atom
# Calculated volume: 116.1 Å³/f.u.
# Mass density: 7.3 g/cm³


(3)
# AlBi3P PBE optimized geometry
data_AlBi3P
_chemical_formula_sum 'Al1 Bi3 P1'
_cell_length_a 5.4400
_cell_length_b 5.4400
_cell_length_c 5.4400
_cell_angle_alpha 90.00
_cell_angle_beta 90.00
_cell_angle_gamma 90.00
_space_group_name_H-M_alt 'P m -3 m'
_space_group_IT_number 221
_space_group_name_Hall '-P 4 2 3'
loop_
_atom_site_label
_atom_site_type_symbol
_atom_site_fract_x
_atom_site_fract_y
_atom_site_fract_z
_atom_site_occupancy
Al1 Al 0.0000 0.0000 0.0000 1
Bi1 Bi 0.0000 0.5000 0.5000 1
P1 P 0.5000 0.5000 0.5000 1
# Spin magnetization: 0.0 Bohr magnetons per cell
# Relative energy among the computed polymorphs: 0 meV per atom
# Energy of formation: 0.6240 eV/atom
# Final energy: -3.54 eV per atom
# Calculated volume: 161.0 Å³/f.u.
# Mass density: 7.1 g/cm³


(4)
# AlBi2P PBE optimized geometry
data_AlBi2P
_chemical_formula_sum 'Al4 Bi8 P4'
_cell_length_a 7.2831
_cell_length_b 7.2831
_cell_length_c 7.2831
_cell_angle_alpha 90.00
_cell_angle_beta 90.00
_cell_angle_gamma 90.00
_space_group_name_H-M_alt 'F m -3 m'
_space_group_IT_number 225
_space_group_name_Hall '-F 4 2 3'
loop_
_atom_site_label
_atom_site_type_symbol
_atom_site_fract_x
_atom_site_fract_y
_atom_site_fract_z
_atom_site_occupancy
Al1 Al 0.0000 0.0000 0.0000 1
Bi1 Bi 0.2500 0.2500 0.2500 1
P1 P 0.0000 0.0000 0.5000 1
# Spin magnetization: 0.0 Bohr magnetons per cell
# Relative energy among the computed polymorphs: 45 meV per atom
# Energy of formation: 0.4119 eV/atom
# Final energy: -3.82 eV per atom
# Calculated volume: 96.6 Å³/f.u.
# Mass density: 8.2 g/cm³


(5)
# AlBi2P2 PBE optimized geometry
data_AlBi2P2
_chemical_formula_sum 'Al2 Bi4 P4'
_cell_length_a 5.9019
_cell_length_b 5.9019
_cell_length_c 7.5428
_cell_angle_alpha 90.00
_cell_angle_beta 90.00
_cell_angle_gamma 90.00
_space_group_name_H-M_alt 'I 4/m m m'
_space_group_IT_number 139
_space_group_name_Hall '-I 4 2'
loop_
_atom_site_label
_atom_site_type_symbol
_atom_site_fract_x
_atom_site_fract_y
_atom_site_fract_z
_atom_site_occupancy
Al1 Al 0.0000 0.0000 0.0000 1
Bi1 Bi 0.0000 0.5000 0.2500 1
P1 P 0.0000 0.0000 0.2987 1
# Spin magnetization: 0.0 Bohr magnetons per cell
# Relative energy among the computed polymorphs: 0 meV per atom
# Energy of formation: 0.2270 eV/atom
# Final energy: -4.24 eV per atom
# Calculated volume: 131.4 Å³/f.u.
# Mass density: 6.4 g/cm³


(6)
# AlBi2P PBE optimized geometry
data_AlBi2P
_chemical_formula_sum 'Al4 Bi8 P4'
_cell_length_a 6.2514
_cell_length_b 6.2514
_cell_length_c 13.9860
_cell_angle_alpha 90.00
_cell_angle_beta 90.00
_cell_angle_gamma 90.00
_space_group_name_H-M_alt 'I -4 2 d'
_space_group_IT_number 122
_space_group_name_Hall 'I -4 2bw'
loop_
_atom_site_label
_atom_site_type_symbol
_atom_site_fract_x
_atom_site_fract_y
_atom_site_fract_z
_atom_site_occupancy
Al1 Al 0.0000 0.0000 0.0000 1
Bi1 Bi 0.2420 0.2500 0.6250 1
P1 P 0.0000 0.0000 0.5000 1
# Spin magnetization: 0.0 Bohr magnetons per cell
# Relative energy among the computed polymorphs: 0 meV per atom
# Energy of formation: 0.3665 eV/atom
# Final energy: -3.86 eV per atom
# Calculated volume: 136.6 Å³/f.u.
# Mass density: 5.8 g/cm³


(7)
# AlBiP PBE optimized geometry
data_AlBiP
_chemical_formula_sum 'Al2 Bi2 P2'
_cell_length_a 3.6888
_cell_length_b 5.8731
_cell_length_c 8.6533
_cell_angle_alpha 72.97
_cell_angle_beta 89.43
_cell_angle_gamma 71.86
_space_group_name_H-M_alt 'P -1'
_space_group_IT_number 2
_space_group_name_Hall '-P 1'
loop_
_atom_site_label
_atom_site_type_symbol
_atom_site_fract_x
_atom_site_fract_y
_atom_site_fract_z
_atom_site_occupancy
Al1 Al 0.1591 0.1872 0.3529 1
Bi1 Bi 0.0820 0.3206 0.8651 1
P1 P 0.2090 0.0792 0.6466 1
# Spin magnetization: 0.0 Bohr magnetons per cell
# Relative energy among the computed polymorphs: 0 meV per atom
# Energy of formation: -0.0549 eV/atom
# Final energy: -4.40 eV per atom
# Calculated volume: 84.8 Å³/f.u.
# Mass density: 5.2 g/cm³


(8)
# AlBi2PPb PBE optimized geometry
data_AlBi2PPb
_chemical_formula_sum 'Al1 Bi2 P1 Pb1'
_cell_length_a 5.9491
_cell_length_b 5.9491
_cell_length_c 5.1885
_cell_angle_alpha 90.00
_cell_angle_beta 90.00
_cell_angle_gamma 90.00
_space_group_name_H-M_alt 'P 4/m m m'
_space_group_IT_number 123
_space_group_name_Hall '-P 4 2'
loop_
_atom_site_label
_atom_site_type_symbol
_atom_site_fract_x
_atom_site_fract_y
_atom_site_fract_z
_atom_site_occupancy
Al1 Al 0.0000 0.0000 0.0000 1
Bi1 Bi 0.0000 0.5000 0.5000 1
P1 P 0.5000 0.5000 0.0000 1
Pb1 Pb 0.5000 0.5000 0.5000 1
# Spin magnetization: 0.0 Bohr magnetons per cell
# Energy of formation: 1.0878 eV/atom
# Final energy: -3.04 eV per atom
# Calculated volume: 183.6 Å³/f.u.
# Mass density: 6.2 g/cm³


(9)
# AlBi2PPd PBE optimized geometry
data_AlBi2PPd
_chemical_formula_sum 'Al1 Bi2 P1 Pd1'
_cell_length_a 5.5458
_cell_length_b 5.5458
_cell_length_c 4.4207
_cell_angle_alpha 90.00
_cell_angle_beta 90.00
_cell_angle_gamma 90.00
_space_group_name_H-M_alt 'P 4/m m m'
_space_group_IT_number 123
_space_group_name_Hall '-P 4 2'
loop_
_atom_site_label
_atom_site_type_symbol
_atom_site_fract_x
_atom_site_fract_y
_atom_site_fract_z
_atom_site_occupancy
Al1 Al 0.0000 0.0000 0.0000 1
Bi1 Bi 0.0000 0.5000 0.5000 1
P1 P 0.5000 0.5000 0.5000 1
Pd1 Pd 0.5000 0.5000 0.0000 1
# Spin magnetization: 0.0 Bohr magnetons per cell
# Energy of formation: 0.3642 eV/atom
# Final energy: -4.06 eV per atom
# Calculated volume: 136.0 Å³/f.u.
# Mass density: 7.1 g/cm³


(10)
# Al2BiPSe PBE optimized geometry
data_Al2BiPSe
_chemical_formula_sum 'Al2 Bi1 P1 Se1'
_cell_length_a 5.0067
_cell_length_b 5.0067
_cell_length_c 4.8740
_cell_angle_alpha 90.00
_cell_angle_beta 90.00
_cell_angle_gamma 90.00
_space_group_name_H-M_alt 'P 4/m m m'
_space_group_IT_number 123
_space_group_name_Hall '-P 4 2'
loop_
_atom_site_label
_atom_site_type_symbol
_atom_site_fract_x
_atom_site_fract_y
_atom_site_fract_z
_atom_site_occupancy
Al1 Al 0.0000 0.5000 0.0000 1
Bi1 Bi 0.0000 0.0000 0.5000 1
P1 P 0.5000 0.5000 0.5000 1
Se1 Se 0.5000 0.5000 0.0000 1
# Uncorrected formation energy: 2.68 eV/f.u.
# Spin magnetization: 0.0 Bohr magnetons per cell
# Final energy: -3.52 eV per atom
# Calculated volume: 122.2 Å³/f.u.
# Mass density: 5.1 g/cm³


(11)
# Sr2AlBiP PBE optimized geometry
data_Sr2AlBiP
_chemical_formula_sum 'Sr2 Al1 Bi1 P1'
_cell_length_a 5.7671
_cell_length_b 5.7671
_cell_length_c 5.3969
_cell_angle_alpha 90.00
_cell_angle_beta 90.00
_cell_angle_gamma 90.00
_space_group_name_H-M_alt 'P 4/m m m'
_space_group_IT_number 123
_space_group_name_Hall '-P 4 2'
loop_
_atom_site_label
_atom_site_type_symbol
_atom_site_fract_x
_atom_site_fract_y
_atom_site_fract_z
_atom_site_occupancy
Sr1 Sr 0.0000 0.5000 0.0000 1
Al1 Al 0.0000 0.0000 0.5000 1
Bi1 Bi 0.5000 0.5000 0.5000 1
P1 P 0.5000 0.5000 0.0000 1
# Spin magnetization: 0.0 Bohr magnetons per cell
# Energy of formation: -0.1760 eV/atom
# Final energy: -3.46 eV per atom
# Calculated volume: 179.5 Å³/f.u.
# Mass density: 4.1 g/cm³


(12)
# Ta2AlBiP PBE optimized geometry
data_Ta2AlBiP
_chemical_formula_sum 'Ta2 Al1 Bi1 P1'
_cell_length_a 4.9871
_cell_length_b 4.9871
_cell_length_c 4.3038
_cell_angle_alpha 90.00
_cell_angle_beta 90.00
_cell_angle_gamma 90.00
_space_group_name_H-M_alt 'P 4/m m m'
_space_group_IT_number 123
_space_group_name_Hall '-P 4 2'
loop_
_atom_site_label
_atom_site_type_symbol
_atom_site_fract_x
_atom_site_fract_y
_atom_site_fract_z
_atom_site_occupancy
Ta1 Ta 0.0000 0.5000 0.0000 1
Al1 Al 0.0000 0.0000 0.0000 1
Bi1 Bi 0.5000 0.5000 0.5000 1
P1 P 0.0000 0.0000 0.5000 1
# Spin magnetization: 0.0 Bohr magnetons per cell
# Energy of formation: 1.1104 eV/atom
# Final energy: -6.24 eV per atom
# Calculated volume: 107.0 Å³/f.u.
# Mass density: 9.8 g/cm³


What did the fourth record say?
# AlBi2P PBE optimized geometry
data_AlBi2P
_chemical_formula_sum 'Al4 Bi8 P4'
_cell_length_a 7.2831
_cell_length_b 7.2831
_cell_length_c 7.2831
_cell_angle_alpha 90.00
_cell_angle_beta 90.00
_cell_angle_gamma 90.00
_space_group_name_H-M_alt 'F m -3 m'
_space_group_IT_number 225
_space_group_name_Hall '-F 4 2 3'
loop_
_atom_site_label
_atom_site_type_symbol
_atom_site_fract_x
_atom_site_fract_y
_atom_site_fract_z
_atom_site_occupancy
Al1 Al 0.0000 0.0000 0.0000 1
Bi1 Bi 0.2500 0.2500 0.2500 1
P1 P 0.0000 0.0000 0.5000 1
# Spin magnetization: 0.0 Bohr magnetons per cell
# Relative energy among the computed polymorphs: 45 meV per atom
# Energy of formation: 0.4119 eV/atom
# Final energy: -3.82 eV per atom
# Calculated volume: 96.6 Å³/f.u.
# Mass density: 8.2 g/cm³


What is the final energy in the fourth record? -3.82 eV per atom


Which formula does entry 4 have? AlBi2P